No. 1
# LiFeW2 PBEsol relaxed
data_LiFeW2
_chemical_formula_sum 'Li2 Fe2 W4'
_cell_length_a 3.0004
_cell_length_b 4.2602
_cell_length_c 8.9962
_cell_angle_alpha 90.00
_cell_angle_beta 90.00
_cell_angle_gamma 90.00
_symmetry_space_group_name_H-M 'C m m m'
_symmetry_Int_Tables_number 65
_symmetry_space_group_name_Hall '-C 2 2'
loop_
_atom_site_label
_atom_site_fract_x
_atom_site_fract_y
_atom_site_fract_z
Li1 0.0000 0.0000 0.0000
Fe1 0.0000 0.0000 0.5000
W1 0.0000 0.5000 0.2692
# crystal system: orthorhombic
# total DFT energy (no corrections): -9.2477 eV/atom
# DOS(E_F): 3.006 states/eV/f.u.
# ΔH_f (0 K): 0.389 eV per atom
# ρ: 12.43 Mg/m³
# energy relative to the lowest polymorph listed for this composition: 0 meV/atom

---

No. 2
# Li2ZnFe PBEsol relaxed
data_Li2ZnFe
_chemical_formula_sum 'Li2 Zn1 Fe1'
_cell_length_a 2.4673
_cell_length_b 2.4673
_cell_length_c 8.5504
_cell_angle_alpha 90.00
_cell_angle_beta 90.00
_cell_angle_gamma 90.00
_symmetry_space_group_name_H-M 'P 4/m m m'
_symmetry_Int_Tables_number 123
_symmetry_space_group_name_Hall '-P 4 2'
loop_
_atom_site_label
_atom_site_fract_x
_atom_site_fract_y
_atom_site_fract_z
Li1 0.0000 0.0000 0.2434
Zn1 0.5000 0.5000 0.5000
Fe1 0.5000 0.5000 0.0000
# crystal system: tetragonal
# total DFT energy (no corrections): -3.4467 eV/atom
# DOS(E_F): 2.755 states/eV/f.u.
# ΔH_f (0 K): 0.173 eV per atom
# ρ: 4.31 Mg/m³

---

No. 3
# LiZnFe2 PBEsol relaxed
data_LiZnFe2
_chemical_formula_sum 'Li2 Zn2 Fe4'
_cell_length_a 2.7800
_cell_length_b 3.9554
_cell_length_c 8.3930
_cell_angle_alpha 90.00
_cell_angle_beta 90.00
_cell_angle_gamma 90.00
_symmetry_space_group_name_H-M 'I m m m'
_symmetry_Int_Tables_number 71
_symmetry_space_group_name_Hall '-I 2 2'
loop_
_atom_site_label
_atom_site_fract_x
_atom_site_fract_y
_atom_site_fract_z
Li1 0.0000 0.0000 0.0000
Zn1 0.0000 0.0000 0.5000
Fe1 0.0000 0.5000 0.2479
# crystal system: orthorhombic
# total DFT energy (no corrections): -5.2290 eV/atom
# DOS(E_F): 2.633 states/eV/f.u.
# ΔH_f (0 K): 0.140 eV per atom
# ρ: 6.62 Mg/m³

---

No. 4
# LiZnFe2 PBEsol relaxed
data_LiZnFe2
_chemical_formula_sum 'Li1 Zn1 Fe2'
_cell_length_a 2.4216
_cell_length_b 4.2398
_cell_length_c 4.5473
_cell_angle_alpha 90.00
_cell_angle_beta 98.20
_cell_angle_gamma 90.00
_symmetry_space_group_name_H-M 'P 1 2/m 1'
_symmetry_Int_Tables_number 10
loop_
_symmetry_equiv_pos_as_xyz
'x,y,z'
'-x,-y,-z'
'-x,y,-z'
'x,-y,z'
loop_
_atom_site_label
_atom_site_fract_x
_atom_site_fract_y
_atom_site_fract_z
Li1 0.0000 0.0000 0.0000
Zn1 0.5000 0.0000 0.5000
Fe1 0.2283 0.5000 0.7513
# crystal system: monoclinic
# total DFT energy (no corrections): -5.2206 eV/atom
# DOS(E_F): 2.727 states/eV/f.u.
# ΔH_f (0 K): 0.148 eV per atom
# ρ: 6.61 Mg/m³

---

No. 5
# LiZn2Fe PBEsol relaxed
data_LiZn2Fe
_chemical_formula_sum 'Li1 Zn2 Fe1'
_cell_length_a 2.5705
_cell_length_b 3.6103
_cell_length_c 5.4946
_cell_angle_alpha 90.00
_cell_angle_beta 90.00
_cell_angle_gamma 90.00
_symmetry_space_group_name_H-M 'P m m m'
_symmetry_Int_Tables_number 47
loop_
_symmetry_equiv_pos_as_xyz
'x,y,z'
'-x,-y,-z'
'-x,-y,z'
'x,y,-z'
'x,-y,-z'
'-x,y,z'
'-x,y,-z'
'x,-y,z'
loop_
_atom_site_label
_atom_site_fract_x
_atom_site_fract_y
_atom_site_fract_z
Li1 0.0000 0.0000 0.0000
Zn1 0.5000 0.5000 0.2637
Fe1 0.0000 0.0000 0.5000
# crystal system: orthorhombic
# total DFT energy (no corrections): -3.5428 eV/atom
# DOS(E_F): 1.922 states/eV/f.u.
# ΔH_f (0 K): -0.019 eV per atom
# ρ: 6.30 Mg/m³

---

No. 6
# LiZn2Fe PBEsol relaxed
data_LiZn2Fe
_chemical_formula_sum 'Li1 Zn2 Fe1'
_cell_length_a 2.5649
_cell_length_b 2.5649
_cell_length_c 7.8152
_cell_angle_alpha 90.00
_cell_angle_beta 90.00
_cell_angle_gamma 90.00
_symmetry_space_group_name_H-M 'P 4/m m m'
_symmetry_Int_Tables_number 123
_symmetry_space_group_name_Hall '-P 4 2'
loop_
_atom_site_label
_atom_site_fract_x
_atom_site_fract_y
_atom_site_fract_z
Li1 0.0000 0.0000 0.0000
Zn1 0.5000 0.5000 0.2647
Fe1 0.0000 0.0000 0.5000
# crystal system: tetragonal
# total DFT energy (no corrections): -3.5811 eV/atom
# DOS(E_F): 1.865 states/eV/f.u.
# ΔH_f (0 K): -0.058 eV per atom
# ρ: 6.25 Mg/m³

---

No. 7
# Li2ZnFe PBEsol relaxed
data_Li2ZnFe
_chemical_formula_sum 'Li2 Zn1 Fe1'
_cell_length_a 2.4915
_cell_length_b 4.4668
_cell_length_c 4.6447
_cell_angle_alpha 90.00
_cell_angle_beta 94.45
_cell_angle_gamma 90.00
_symmetry_space_group_name_H-M 'P 1 2/m 1'
_symmetry_Int_Tables_number 10
loop_
_symmetry_equiv_pos_as_xyz
'x,y,z'
'-x,-y,-z'
'-x,y,-z'
'x,-y,z'
loop_
_atom_site_label
_atom_site_fract_x
_atom_site_fract_y
_atom_site_fract_z
Li1 0.2482 0.0000 0.2576
Zn1 0.5000 0.5000 0.0000
Fe1 0.0000 0.5000 0.5000
# crystal system: monoclinic
# total DFT energy (no corrections): -3.4720 eV/atom
# DOS(E_F): 3.336 states/eV/f.u.
# ΔH_f (0 K): 0.148 eV per atom
# ρ: 4.35 Mg/m³

---

No. 8
# LiZnFe2 PBEsol relaxed
data_LiZnFe2
_chemical_formula_sum 'Li2 Zn2 Fe4'
_cell_length_a 2.8412
_cell_length_b 4.0377
_cell_length_c 8.4513
_cell_angle_alpha 90.00
_cell_angle_beta 90.00
_cell_angle_gamma 90.00
_symmetry_space_group_name_H-M 'C m m 2'
_symmetry_Int_Tables_number 35
loop_
_symmetry_equiv_pos_as_xyz
'x,y,z'
'-x,-y,z'
'-x,y,z'
'x,-y,z'
'x+1/2,y+1/2,z'
'-x+1/2,-y+1/2,z'
'-x+1/2,y+1/2,z'
'x+1/2,-y+1/2,z'
loop_
_atom_site_label
_atom_site_fract_x
_atom_site_fract_y
_atom_site_fract_z
Li1 0.0000 0.0000 0.0000
Zn1 0.0000 0.5000 0.7339
Fe1 0.0000 0.0000 0.4849
Fe2 0.0000 0.5000 0.2565
# crystal system: orthorhombic
# total DFT energy (no corrections): -5.2784 eV/atom
# DOS(E_F): 2.846 states/eV/f.u.
# ΔH_f (0 K): 0.091 eV per atom
# ρ: 6.30 Mg/m³

---

No. 9
# Li2ZnFe PBEsol relaxed
data_Li2ZnFe
_chemical_formula_sum 'Li4 Zn2 Fe2'
_cell_length_a 5.0336
_cell_length_b 8.5963
_cell_length_c 2.4156
_cell_angle_alpha 90.00
_cell_angle_beta 90.00
_cell_angle_gamma 90.00
_symmetry_space_group_name_H-M 'C m m m'
_symmetry_Int_Tables_number 65
_symmetry_space_group_name_Hall '-C 2 2'
loop_
_atom_site_label
_atom_site_fract_x
_atom_site_fract_y
_atom_site_fract_z
Li1 0.2500 0.2500 0.0000
Zn1 0.0000 0.0000 0.5000
Fe1 0.0000 0.5000 0.5000
# crystal system: orthorhombic
# total DFT energy (no corrections): -3.4189 eV/atom
# DOS(E_F): 3.272 states/eV/f.u.
# ΔH_f (0 K): 0.201 eV per atom
# ρ: 4.29 Mg/m³

---

No. 10
# LiZn2Fe PBEsol relaxed
data_LiZn2Fe
_chemical_formula_sum 'Li2 Zn4 Fe2'
_cell_length_a 3.6547
_cell_length_b 3.6547
_cell_length_c 7.4653
_cell_angle_alpha 90.00
_cell_angle_beta 90.00
_cell_angle_gamma 90.00
_symmetry_space_group_name_H-M 'I -4 m 2'
_symmetry_Int_Tables_number 119
_symmetry_space_group_name_Hall 'I -4 -2'
loop_
_atom_site_label
_atom_site_fract_x
_atom_site_fract_y
_atom_site_fract_z
Li1 0.0000 0.0000 0.0000
Zn1 0.0000 0.0000 0.5000
Zn2 0.0000 0.5000 0.2500
Fe1 0.0000 0.5000 0.7500
# crystal system: tetragonal
# total DFT energy (no corrections): -3.4142 eV/atom
# DOS(E_F): 4.569 states/eV/f.u.
# ΔH_f (0 K): 0.109 eV per atom
# ρ: 6.45 Mg/m³

---

No. 11
# Li2ZnFe PBEsol relaxed
data_Li2ZnFe
_chemical_formula_sum 'Li2 Zn1 Fe1'
_cell_length_a 3.5192
_cell_length_b 3.5192
_cell_length_c 4.1980
_cell_angle_alpha 90.00
_cell_angle_beta 90.00
_cell_angle_gamma 90.00
_symmetry_space_group_name_H-M 'P 4/m m m'
_symmetry_Int_Tables_number 123
_symmetry_space_group_name_Hall '-P 4 2'
loop_
_atom_site_label
_atom_site_fract_x
_atom_site_fract_y
_atom_site_fract_z
Li1 0.0000 0.5000 0.0000
Zn1 0.0000 0.0000 0.5000
Fe1 0.5000 0.5000 0.5000
# crystal system: tetragonal
# total DFT energy (no corrections): -3.4244 eV/atom
# DOS(E_F): 2.552 states/eV/f.u.
# ΔH_f (0 K): 0.195 eV per atom
# ρ: 4.32 Mg/m³

---

No. 12
# LiZn2Fe PBEsol relaxed
data_LiZn2Fe
_chemical_formula_sum 'Li3 Zn6 Fe3'
_cell_length_a 2.5882
_cell_length_b 2.5882
_cell_length_c 26.7788
_cell_angle_alpha 90.00
_cell_angle_beta 90.00
_cell_angle_gamma 120.00
_symmetry_space_group_name_H-M 'R 3 m'
_symmetry_Int_Tables_number 160
_symmetry_space_group_name_Hall 'R 3 -2"'
loop_
_atom_site_label
_atom_site_fract_x
_atom_site_fract_y
_atom_site_fract_z
Li1 0.0000 0.0000 0.0000
Zn1 0.0000 0.0000 0.5066
Zn2 0.0000 0.0000 0.7530
Fe1 0.0000 0.0000 0.2521
# crystal system: trigonal
# total DFT energy (no corrections): -3.4410 eV/atom
# DOS(E_F): 1.840 states/eV/f.u.
# ΔH_f (0 K): 0.082 eV per atom
# ρ: 6.21 Mg/m³